w:
First-principles (PBE) data for Re3BRh after structural relaxation, as listed in the Alexandria database.

Unit cell a=4.668 b=4.668 c=4.668 alpha=90.00 beta=90.00 gamma=90.00
Fractional coordinates of all 5 atoms:
Re (0.500, 0.000, 0.000)
B (0.500, 0.500, 0.500)
Rh (0.000, 0.000, 0.000)
Re (0.000, 0.000, 0.500)
Re (0.000, 0.500, 0.000)

## Properties
spin magnetization	2.39	μB per cell

x:
First-principles (PBE) data for Re3BRh after structural relaxation, as listed in the Alexandria database.

Unit cell a=4.093 b=4.093 c=4.093 alpha=90.00 beta=90.00 gamma=90.00
Fractional coordinates of all 5 atoms:
Re (0.000, 0.000, 0.500)
Re (0.500, 0.000, 0.000)
B (0.000, 0.000, 0.000)
Re (0.000, 0.500, 0.000)
Rh (0.500, 0.500, 0.500)

## Properties
spin magnetization	0.00	μB per cell

Stability ranking, top and bottom: x is the most stable and w is the least stable.

w:
First-principles (PBE) data for Re2B2Rh after structural relaxation, as listed in the Alexandria database.

Unit cell a=5.536 b=5.536 c=3.590 alpha=90.00 beta=90.00 gamma=90.00
Fractional coordinates of all 10 atoms:
Rh (0.000, 0.000, 0.000)
B (0.886, 0.614, 0.000)
B (0.386, 0.886, 0.000)
Rh (0.500, 0.500, 0.000)
Re (0.327, 0.173, 0.500)
Re (0.173, 0.673, 0.500)
B (0.114, 0.386, 0.000)
Re (0.673, 0.827, 0.500)
B (0.614, 0.114, 0.000)
Re (0.827, 0.327, 0.500)

## Properties
spin magnetization	0.00	μB per cell

x:
First-principles (PBE) data for Re2B2Rh after structural relaxation, as listed in the Alexandria database.

Unit cell a=4.186 b=4.186 c=4.634 alpha=63.15 beta=63.15 gamma=90.00
Fractional coordinates of all 5 atoms:
Re (0.750, 0.250, 0.500)
B (0.675, 0.675, 0.649)
Re (0.250, 0.750, 0.500)
B (0.325, 0.325, 0.351)
Rh (0.000, 0.000, 0.000)

## Properties
spin magnetization	0.00	μB per cell

Stability ranking, top and bottom: w is the most stable and x is the least stable.